The following is a PBE calculation of a relaxed structure of BaNd2TmO5, from the Alexandria database.

Computed properties:
The value obtained for the raw total energy is -7.57 eV/atom. The spin magnetization comes out at 0.6 μB/cell. The formation energy (no corrections) comes out at -3.0503 eV/atom.

a = 4.193 Å, b = 6.090 Å, c = 11.959 Å
α = 90.00°, β = 90.00°, γ = 90.00°
Space group Immm (No. 71)
Unique sites:
Ba: 0.000 0.000 0.000 (multiplicity 2)
Nd: 0.000 0.500 0.217 (multiplicity 4)
Tm: 0.000 0.000 0.500 (multiplicity 2)
O: 0.000 0.237 0.356 (multiplicity 8)
O: 0.000 0.500 0.000 (multiplicity 2)

***

The following is a PBE calculation of a relaxed structure of KInW4, from the Alexandria database.

Computed properties:
The value obtained for the raw total energy is -8.15 eV/atom. The spin magnetization comes out at 0.0 μB/cell. For the formation enthalpy at 0 K, the calculation gives 108.3 kJ per mole of atoms.

a = 7.802 Å, b = 7.802 Å, c = 7.802 Å
α = 90.00°, β = 90.00°, γ = 90.00°
Space group F-43m (No. 216)
Unique sites:
K: 0.000 0.000 0.000 (multiplicity 4)
In: 0.250 0.250 0.250 (multiplicity 4)
W: 0.127 0.127 0.627 (multiplicity 16)

***

The following is a PBE calculation of a relaxed structure of FeCoSi2, from the Alexandria database.

Computed properties:
The value obtained for the raw total energy is -6.64 eV/atom. The spin magnetization comes out at 2.1 μB/cell. The formation energy (no corrections) comes out at -0.0343 eV/atom.

a = 2.571 Å, b = 2.571 Å, c = 7.123 Å
α = 90.00°, β = 90.00°, γ = 90.00°
Space group P4mm (No. 99)
Unique sites:
Fe: 0.000 0.000 0.000 (multiplicity 1)
Co: 0.500 0.500 0.760 (multiplicity 1)
Si: 0.000 0.000 0.546 (multiplicity 1)
Si: 0.500 0.500 0.232 (multiplicity 1)

***

The following is a PBE calculation of a relaxed structure of KSi4Te, from the Alexandria database.

Computed properties:
The value obtained for the raw total energy is -3.86 eV/atom. The spin magnetization comes out at 0.0 μB/cell. The formation energy (no corrections) comes out at 0.4603 eV/atom.

a = 7.844 Å, b = 7.844 Å, c = 7.844 Å
α = 90.00°, β = 90.00°, γ = 90.00°
Space group F-43m (No. 216)
Unique sites:
K: 0.000 0.000 0.000 (multiplicity 4)
Si: 0.127 0.127 0.627 (multiplicity 16)
Te: 0.250 0.250 0.250 (multiplicity 4)

***

The following is a PBE calculation of a relaxed structure of HoSn2Ir, from the Alexandria database.

Computed properties:
The value obtained for the raw total energy is -5.27 eV/atom. The spin magnetization comes out at 0.0 μB/cell. For the formation enthalpy at 0 K, the calculation gives 9.0 kJ per mole of atoms.

a = 3.3293 Å, b = 3.3293 Å, c = 30.8128 Å
α = 90.00°, β = 90.00°, γ = 120.00°
Space group R-3m (No. 166, hexagonal axes)
Unique sites:
Ho: 0.0000 0.0000 0.0000 (multiplicity 3)
Sn: 0.0000 0.0000 0.1018 (multiplicity 6)
Ir: 0.0000 0.0000 0.5000 (multiplicity 3)

***

The following is a PBE calculation of a relaxed structure of SiIrCl4, from the Alexandria database.

Computed properties:
The value obtained for the raw total energy is -2.15 eV/atom. The spin magnetization comes out at 13.6 μB/cell. The formation energy (no corrections) comes out at 1.4617 eV/atom.

a = 8.026 Å, b = 8.026 Å, c = 8.026 Å
α = 90.00°, β = 90.00°, γ = 90.00°
Space group F-43m (No. 216)
Unique sites:
Si: 0.000 0.000 0.000 (multiplicity 4)
Ir: 0.250 0.250 0.250 (multiplicity 4)
Cl: 0.124 0.124 0.624 (multiplicity 16)

***

The following is a PBE calculation of a relaxed structure of BaLiMn2Be, from the Alexandria database.

Computed properties:
The value obtained for the raw total energy is -4.30 eV/atom. The spin magnetization comes out at 8.1 μB/cell. For the formation enthalpy at 0 K, the calculation gives 85.0 kJ per mole of atoms.

a = 4.845 Å, b = 4.845 Å, c = 4.674 Å
α = 90.00°, β = 90.00°, γ = 90.00°
Space group P4/mmm (No. 123)
Unique sites:
Ba: 0.000 0.000 0.000 (multiplicity 1)
Li: 0.500 0.500 0.500 (multiplicity 1)
Mn: 0.000 0.500 0.500 (multiplicity 2)
Be: 0.500 0.500 0.000 (multiplicity 1)

***

The following is a PBE calculation of a relaxed structure of Pr4GaH, from the Alexandria database.

Computed properties:
The value obtained for the raw total energy is -4.45 eV/atom. The spin magnetization comes out at 0.0 μB/cell.

a = 8.577 Å, b = 3.810 Å, c = 12.517 Å
α = 90.00°, β = 126.70°, γ = 90.00°
Space group P2/c (No. 13)
Unique sites:
Pr: 0.154 0.135 0.186 (multiplicity 4)
Pr: 0.309 0.321 0.994 (multiplicity 4)
Ga: 0.500 0.276 0.750 (multiplicity 2)
H: 0.000 0.500 0.000 (multiplicity 2)

***

The following is a PBE calculation of a relaxed structure of NaErPbF6, from the Alexandria database.

Computed properties:
The value obtained for the raw total energy is -5.56 eV/atom. The spin magnetization comes out at 0.0 μB/cell. The formation energy (no corrections) comes out at -3.2425 eV/atom.

a = 5.380 Å, b = 5.380 Å, c = 11.004 Å
α = 90.00°, β = 90.00°, γ = 90.00°
Space group P4_2nm (No. 102)
Unique sites:
Na: 0.000 0.000 0.000 (multiplicity 2)
Er: 0.000 0.000 0.665 (multiplicity 2)
Pb: 0.000 0.000 0.330 (multiplicity 2)
F: 0.180 0.180 0.819 (multiplicity 4)
F: 0.193 0.193 0.520 (multiplicity 4)
F: 0.213 0.213 0.163 (multiplicity 4)

***

The following is a PBE calculation of a relaxed structure of La3TlRh, from the Alexandria database.

Computed properties:
The value obtained for the raw total energy is -5.31 eV/atom. For the relative energy among the computed polymorphs, the calculation gives 0.437 eV/f.u. The spin magnetization comes out at 0.0 μB/cell. For the formation enthalpy at 0 K, the calculation gives -39.1 kJ per mole of atoms.

a = 5.541 Å, b = 5.541 Å, c = 5.541 Å
α = 90.00°, β = 90.00°, γ = 90.00°
Space group Pm-3m (No. 221)
Unique sites:
La: 0.000 0.000 0.500 (multiplicity 3)
Tl: 0.500 0.500 0.500 (multiplicity 1)
Rh: 0.000 0.000 0.000 (multiplicity 1)

***

The following is a PBE calculation of a relaxed structure of LaDyPd2, from the Alexandria database.

Computed properties:
The value obtained for the raw total energy is -5.73 eV/atom. For the relative energy among the computed polymorphs, the calculation gives 0.455 eV/f.u. The spin magnetization comes out at 0.0 μB/cell. For the formation enthalpy at 0 K, the calculation gives -72.5 kJ per mole of atoms.

a = 4.1912 Å, b = 4.1912 Å, c = 20.2696 Å
α = 90.00°, β = 90.00°, γ = 120.00°
Space group R-3m (No. 166, hexagonal axes)
Unique sites:
La: 0.0000 0.0000 0.0000 (multiplicity 3)
Dy: 0.0000 0.0000 0.5000 (multiplicity 3)
Pd: 0.0000 0.0000 0.2450 (multiplicity 6)

***

The following is a PBE calculation of a relaxed structure of RbHgAuF6, from the Alexandria database.

Computed properties:
The value obtained for the raw total energy is -3.36 eV/atom. The spin magnetization comes out at 0.0 μB/cell. The formation energy (no corrections) comes out at -1.6087 eV/atom.

a = 5.397 Å, b = 5.684 Å, c = 6.561 Å
α = 97.80°, β = 97.75°, γ = 104.25°
Space group P1 (No. 1)
Unique sites:
Rb: 0.000 0.000 0.000 (multiplicity 1)
Hg: 0.287 0.734 0.502 (multiplicity 1)
Au: 0.740 0.282 0.517 (multiplicity 1)
F: 0.081 0.334 0.692 (multiplicity 1)
F: 0.091 0.570 0.213 (multiplicity 1)
F: 0.397 0.228 0.346 (multiplicity 1)
F: 0.440 0.940 0.790 (multiplicity 1)
F: 0.719 0.601 0.660 (multiplicity 1)
F: 0.761 0.963 0.372 (multiplicity 1)

***

The following is a PBE calculation of a relaxed structure of TlCuSn, from the Alexandria database.

Computed properties:
The value obtained for the raw total energy is -3.39 eV/atom. The spin magnetization comes out at 0.0 μB/cell. For the formation enthalpy at 0 K, the calculation gives 9.5 kJ per mole of atoms.

a = 4.269 Å, b = 5.437 Å, c = 6.815 Å
α = 76.79°, β = 71.75°, γ = 67.20°
Space group P-1 (No. 2)
Unique sites:
Tl: 0.092 0.183 0.134 (multiplicity 2)
Cu: 0.368 0.582 0.183 (multiplicity 2)
Sn: 0.319 0.280 0.579 (multiplicity 2)

***

The following is a PBE calculation of a relaxed structure of Hf2PaAlC4, from the Alexandria database.

Computed properties:
The value obtained for the raw total energy is -9.22 eV/atom. The spin magnetization comes out at 0.0 μB/cell. For the formation enthalpy at 0 K, the calculation gives -44.8 kJ per mole of atoms.

a = 3.337 Å, b = 11.111 Å, c = 11.382 Å
α = 90.00°, β = 90.00°, γ = 90.00°
Space group Cmcm (No. 63)
Unique sites:
Hf: 0.000 0.132 0.045 (multiplicity 8)
Pa: 0.000 0.385 0.250 (multiplicity 4)
Al: 0.000 0.350 0.750 (multiplicity 4)
C: 0.000 0.046 0.250 (multiplicity 4)
C: 0.000 0.232 0.622 (multiplicity 8)
C: 0.000 0.500 0.000 (multiplicity 4)

***

The following is a PBE calculation of a relaxed structure of YTm4Pd4, from the Alexandria database.

Computed properties:
The value obtained for the raw total energy is -5.71 eV/atom. The spin magnetization comes out at 0.0 μB/cell. For the formation enthalpy at 0 K, the calculation gives -67.2 kJ per mole of atoms.

a = 8.951 Å, b = 8.951 Å, c = 5.678 Å
α = 90.00°, β = 90.00°, γ = 90.00°
Space group P4_2/n (No. 86, origin choice 2)
Unique sites:
Y: 0.250 0.250 0.250 (multiplicity 2)
Tm: 0.076 0.656 0.161 (multiplicity 8)
Pd: 0.035 0.624 0.659 (multiplicity 8)

***

The following is a PBE calculation of a relaxed structure of Hf4SiN, from the Alexandria database.

Computed properties:
The value obtained for the raw total energy is -9.61 eV/atom. The spin magnetization comes out at 0.0 μB/cell. The formation energy (no corrections) comes out at -0.6827 eV/atom.

a = 5.882 Å, b = 6.021 Å, c = 6.050 Å
α = 90.00°, β = 96.30°, γ = 90.00°
Space group P2_1/c (No. 14)
Unique sites:
Hf: 0.112 0.161 0.179 (multiplicity 4)
Hf: 0.331 0.634 0.107 (multiplicity 4)
Si: 0.500 0.000 0.000 (multiplicity 2)
N: 0.000 0.000 0.500 (multiplicity 2)

***

The following is a PBE calculation of a relaxed structure of ErPu2Sc3Se6, from the Alexandria database.

Computed properties:
The value obtained for the raw total energy is -7.70 eV/atom. The spin magnetization comes out at 23.5 μB/cell. The formation energy (no corrections) comes out at -1.6039 eV/atom.

a = 17.413 Å, b = 3.967 Å, c = 8.019 Å
α = 90.00°, β = 103.77°, γ = 90.00°
Space group C2/m (No. 12)
Unique sites:
Er: 0.000 0.000 0.000 (multiplicity 2)
Pu: 0.166 0.500 0.332 (multiplicity 4)
Sc: 0.000 0.000 0.500 (multiplicity 2)
Sc: 0.168 0.500 0.833 (multiplicity 4)
Se: 0.006 0.500 0.745 (multiplicity 4)
Se: 0.163 0.000 0.594 (multiplicity 4)
Se: 0.169 0.000 0.070 (multiplicity 4)

***

The following is a PBE calculation of a relaxed structure of Zn6BrO6, from the Alexandria database.

Computed properties:
The value obtained for the raw total energy is -4.19 eV/atom. The spin magnetization comes out at 0.0 μB/cell. The formation energy (no corrections) comes out at -1.1806 eV/atom.

a = 5.714 Å, b = 5.714 Å, c = 5.714 Å
α = 90.00°, β = 90.00°, γ = 90.00°
Space group Pm-3 (No. 200)
Unique sites:
Zn: 0.000 0.245 0.500 (multiplicity 6)
Br: 0.000 0.000 0.000 (multiplicity 1)
O: 0.000 0.500 0.257 (multiplicity 6)

***

The following is a PBE calculation of a relaxed structure of CdBi2Te, from the Alexandria database.

Computed properties:
The value obtained for the raw total energy is -2.75 eV/atom. For the relative energy among the computed polymorphs, the calculation gives 0.197 eV/f.u. The spin magnetization comes out at 0.0 μB/cell. The formation energy (no corrections) comes out at 0.2070 eV/atom.

a = 6.587 Å, b = 6.587 Å, c = 15.522 Å
α = 90.00°, β = 90.00°, γ = 90.00°
Space group I-42d (No. 122)
Unique sites:
Cd: 0.000 0.000 0.000 (multiplicity 4)
Bi: 0.232 0.250 0.125 (multiplicity 8)
Te: 0.000 0.000 0.500 (multiplicity 4)

***

The following is a PBE calculation of a relaxed structure of GdPO4, from the Alexandria database.

Computed properties:
The value obtained for the raw total energy is -9.52 eV/atom. The spin magnetization comes out at 27.9 μB/cell. The formation energy (no corrections) comes out at -2.9637 eV/atom.

a = 6.388 Å, b = 6.918 Å, c = 8.070 Å
α = 90.00°, β = 125.86°, γ = 90.00°
Space group P2_1/c (No. 14)
Unique sites:
Gd: 0.190 0.153 0.284 (multiplicity 4)
P: 0.309 0.660 0.198 (multiplicity 4)
O: 0.120 0.665 0.616 (multiplicity 4)
O: 0.182 0.502 0.248 (multiplicity 4)
O: 0.344 0.599 0.030 (multiplicity 4)
O: 0.410 0.208 0.121 (multiplicity 4)